No. 1
A relaxed structure of SiHSe2. Source: Alexandria via LeMat-Bulk, functional GGA-PBE.

Cell lengths 2.9350, 2.9350, 24.6967 Å; angles 90.00, 90.00, 120.00 degrees
Space group R-3m (No. 166, hexagonal axes)
Symmetry-distinct sites (fractional):
Si (0.0000, 0.0000, 0.0000) x3
H (0.0000, 0.0000, 0.5000) x3
Se (0.0000, 0.0000, 0.1041) x6

Summary:
- total magnetization (μB per atom) = 0.000
- total DFT energy (no corrections) (eV for the cell shown) = -38.8

***

No. 2
A relaxed structure of Si2HSe. Source: Alexandria via LeMat-Bulk, functional GGA-PBE.

Cell lengths 6.1961, 6.1961, 6.1961 Å; angles 90.00, 90.00, 90.00 degrees
Space group Fm-3m (No. 225)
Symmetry-distinct sites (fractional):
Si (0.2500, 0.2500, 0.2500) x8
H (0.0000, 0.0000, 0.0000) x4
Se (0.0000, 0.0000, 0.5000) x4

Summary:
- total magnetization (μB per atom) = 0.000
- total DFT energy (no corrections) (eV for the cell shown) = -57.4

***

What did the first record say?
A relaxed structure of SiHSe2. Source: Alexandria via LeMat-Bulk, functional GGA-PBE.

Cell lengths 2.9350, 2.9350, 24.6967 Å; angles 90.00, 90.00, 120.00 degrees
Space group R-3m (No. 166, hexagonal axes)
Symmetry-distinct sites (fractional):
Si (0.0000, 0.0000, 0.0000) x3
H (0.0000, 0.0000, 0.5000) x3
Se (0.0000, 0.0000, 0.1041) x6

Summary:
- total magnetization (μB per atom) = 0.000
- total DFT energy (no corrections) (eV for the cell shown) = -38.8

***

Please write out number 1 again, unchanged.
A relaxed structure of SiHSe2. Source: Alexandria via LeMat-Bulk, functional GGA-PBE.

Cell lengths 2.9350, 2.9350, 24.6967 Å; angles 90.00, 90.00, 120.00 degrees
Space group R-3m (No. 166, hexagonal axes)
Symmetry-distinct sites (fractional):
Si (0.0000, 0.0000, 0.0000) x3
H (0.0000, 0.0000, 0.5000) x3
Se (0.0000, 0.0000, 0.1041) x6

Summary:
- total magnetization (μB per atom) = 0.000
- total DFT energy (no corrections) (eV for the cell shown) = -38.8

***

Question: Which value of total magnetization does entry 2 give?
Answer: 0.000 μB per atom